Below is a relaxed structure of LiInHPt2, with properties calculated at the PBE level.

Computed properties:
E ... -4.5140 eV/atom
Crystal system ... tetragonal

a b c (Å): 4.0328 4.0328 4.0532
angles (deg): 90.00 90.00 90.00
Sites, in units of the cell vectors:
Li1 0.0000 0.0000 0.5000
Pt1 0.0000 0.5000 0.0000
Pt2 0.5000 0.0000 0.0000
H1 0.0000 0.0000 0.0000
In1 0.5000 0.5000 0.5000

Below is a relaxed structure of Mg2ReTc, with properties calculated at the PBE level.

Computed properties:
Energy above the most stable polymorph in this dataset ... 244 meV per atom
Crystal system ... orthorhombic
Formation enthalpy at 0 K ... 0.26 eV/atom

a b c (Å): 2.6960 2.6960 9.1341
angles (deg): 90.00 90.00 106.12
Sites, in units of the cell vectors:
Mg1 0.0000 0.0000 0.5016
Mg2 0.0000 0.0000 0.9984
Re1 0.5000 0.5000 0.2500
Tc1 0.5000 0.5000 0.7500

Below is a relaxed structure of Ac3TeAuN, with properties calculated at the PBE level.

Computed properties:
E_form (uncorrected) ... -1100.4 meV per atom
Crystal system ... monoclinic

a b c (Å): 4.3894 9.9101 10.1221
angles (deg): 101.88 90.00 90.00
Sites, in units of the cell vectors:
Au1 0.7500 0.3522 0.8428
Au2 0.2500 0.6478 0.1572
N1 0.2500 0.0819 0.6013
N2 0.7500 0.9181 0.3987
Ac1 0.2500 0.1136 0.8357
Ac2 0.7500 0.8864 0.1643
Ac3 0.7500 0.1603 0.5143
Ac4 0.2500 0.5787 0.8461
Ac5 0.7500 0.4213 0.1539
Ac6 0.2500 0.8397 0.4857
Te1 0.2500 0.1703 0.2188
Te2 0.7500 0.8297 0.7812

Below is a relaxed structure of BaNi3Ag, with properties calculated at the PBE level.

Computed properties:
Energy above the most stable polymorph in this dataset ... 0 meV per atom
Crystal system ... cubic
Formation enthalpy at 0 K ... 0.70 eV/atom

a b c (Å): 4.8018 4.8018 4.8018
angles (deg): 90.00 90.00 90.00
Sites, in units of the cell vectors:
Ni1 0.5000 0.0000 0.0000
Ni2 0.0000 0.5000 0.0000
Ni3 0.0000 0.0000 0.5000
Ag1 0.0000 0.0000 0.0000
Ba1 0.5000 0.5000 0.5000

Below is a relaxed structure of KCe2S4, with properties calculated at the PBE level.

Computed properties:
E_form (uncorrected) ... -1793.0 meV per atom
Energy above the most stable polymorph in this dataset ... 0 meV per atom
Crystal system ... tetragonal

a b c (Å): 8.5360 8.5359 8.5358
angles (deg): 119.92 119.92 90.14
Sites, in units of the cell vectors:
S1 0.3944 0.6047 0.2103
S2 0.8547 0.1443 0.7103
S3 0.8160 0.6057 0.2104
S4 0.8556 0.1453 0.2897
S5 0.8557 0.5660 0.7103
S6 0.3953 0.6057 0.7897
S7 0.4340 0.1443 0.2896
S8 0.3943 0.1840 0.7897
Ce1 0.6250 0.3750 0.2500
Ce2 0.6250 0.8750 0.2500
Ce3 0.6250 0.3750 0.7500
Ce4 0.1250 0.3750 0.7500
K1 0.0000 0.0000 0.0000
K2 0.2500 0.7500 0.5000

Below is a relaxed structure of V2NiHRu, with properties calculated at the PBE level.

Computed properties:
Energy above the most stable polymorph in this dataset ... 0 meV per atom
Crystal system ... tetragonal

a b c (Å): 3.8329 3.8329 3.6061
angles (deg): 90.00 90.00 90.00
Sites, in units of the cell vectors:
H1 0.0000 0.0000 0.0000
Ni1 0.0000 0.0000 0.5000
V1 0.0000 0.5000 0.0000
V2 0.5000 0.0000 0.0000
Ru1 0.5000 0.5000 0.5000

Below is a relaxed structure of ZnSi2Br, with properties calculated at the PBE level.

Computed properties:
E_form (uncorrected) ... 660.5 meV per atom
Energy above the most stable polymorph in this dataset ... 595 meV per atom
Crystal system ... orthorhombic

a b c (Å): 5.8888 5.8888 2.7572
angles (deg): 90.00 90.00 126.20
Sites, in units of the cell vectors:
Si1 0.0000 0.0000 0.0000
Si2 0.5000 0.5000 0.0000
Zn1 0.5000 0.0000 0.5000
Br1 0.0000 0.5000 0.5000

Below is a relaxed structure of VPd2W, with properties calculated at the PBE level.

Computed properties:
Energy above the most stable polymorph in this dataset ... 0 meV per atom
Crystal system ... trigonal
Formation enthalpy at 0 K ... 0.29 eV/atom

a b c (Å): 2.7508 2.7508 9.7124
angles (deg): 81.86 81.86 60.00
Sites, in units of the cell vectors:
V1 0.5000 0.5000 0.5000
W1 0.0000 0.0000 0.0000
Pd1 0.0913 0.0913 0.7260
Pd2 0.9087 0.9087 0.2740

Below is a relaxed structure of DyTe2P2Pt7, with properties calculated at the PBE level.

Computed properties:
E_form (uncorrected) ... -689.6 meV per atom
Crystal system ... tetragonal

a b c (Å): 4.0075 4.0075 14.7594
angles (deg): 82.21 82.21 90.00
Sites, in units of the cell vectors:
Pt1 0.4246 0.9246 0.1505
Pt2 0.5754 0.0754 0.8495
Pt3 0.0754 0.5754 0.8495
Pt4 0.5000 0.5000 0.0000
Pt5 0.9246 0.4246 0.1505
Pt6 0.6984 0.6984 0.6027
Pt7 0.3016 0.3016 0.3973
P1 0.3802 0.3802 0.2393
P2 0.6198 0.6198 0.7607
Dy1 0.0000 0.0000 0.0000
Te1 0.7922 0.7922 0.4158
Te2 0.2078 0.2078 0.5842

Below is a relaxed structure of Hf2ZrGaSi, with properties calculated at the PBE level.

Computed properties:
E_form (uncorrected) ... 322.6 meV per atom
Crystal system ... tetragonal

a b c (Å): 4.9191 4.5723 4.9191
angles (deg): 90.00 90.00 90.00
Sites, in units of the cell vectors:
Hf1 0.5000 0.0000 0.0000
Hf2 0.0000 0.0000 0.5000
Ga1 0.0000 0.5000 0.0000
Si1 0.0000 0.0000 0.0000
Zr1 0.5000 0.5000 0.5000

Below is a relaxed structure of CdBi4Rh2, with properties calculated at the PBE level.

Computed properties:
Crystal system ... trigonal
Formation enthalpy at 0 K ... -0.14 eV/atom

a b c (Å): 4.6444 4.6444 9.9562
angles (deg): 76.51 76.51 60.00
Sites, in units of the cell vectors:
Rh1 0.9027 0.9027 0.2918
Rh2 0.0973 0.0973 0.7082
Bi1 0.3921 0.3921 0.8237
Bi2 0.6079 0.6079 0.1763
Bi3 0.7982 0.7982 0.6053
Bi4 0.2018 0.2018 0.3947
Cd1 0.0000 0.0000 0.0000

Below is a relaxed structure of Ga2Pd3Pt2, with properties calculated at the PBE level.

Computed properties:
Crystal system ... monoclinic
Formation enthalpy at 0 K ... -0.49 eV/atom

a b c (Å): 4.0180 4.6787 6.5139
angles (deg): 103.27 90.00 115.43
Sites, in units of the cell vectors:
Pd1 0.6350 0.2700 0.4333
Pd2 0.5000 0.0000 0.0000
Pd3 0.3650 0.7300 0.5667
Ga1 0.1990 0.3981 0.1715
Ga2 0.8010 0.6019 0.8285
Pt1 0.9005 0.8010 0.2475
Pt2 0.0995 0.1990 0.7525

Q: Which calculated volume values were calculated for the entries above? A: 66, 64, 215, 111, 220, 53, 77, 63, 233, 111, 179, 107, in Å³/f.u..
Q: Which DOS(E_F) values were calculated for the entries above? A: 0.9, 2.2, 8.0, 5.7, 16.0, 3.5, 1.6, 4.9, 4.9, 8.5, 4.4, 3.6, in states/eV per cell.